# 1
Here is a relaxed structure of Si3BrN from Alexandria via LeMat-Bulk. Energies are from GGA-PBE.

Properties
Formation energy without anion corrections   2.526 eV/atom
Volume   24.59 Å³/atom
Spin magnetization   0.000 μB/atom

abc: 4.9725 4.9725 4.9725
angles: 90.00 90.00 90.00
Fractional coordinates of all 5 atoms:
1 Si 0.0000 0.0000 0.5000
2 Si 0.0000 0.5000 0.0000
3 Si 0.5000 0.0000 0.0000
4 Br 0.0000 0.0000 0.0000
5 N 0.5000 0.5000 0.5000

=====

# 2
Here is a relaxed structure of Si2SnBrN from Alexandria via LeMat-Bulk. Energies are from GGA-PBE.

Properties
Formation energy without anion corrections   2.231 eV/atom
Volume   27.52 Å³/atom
Spin magnetization   0.000 μB/atom

abc: 4.9317 4.9317 5.6574
angles: 90.00 90.00 90.00
Fractional coordinates of all 5 atoms:
1 Si 0.0000 0.5000 0.0000
2 Si 0.5000 0.0000 0.0000
3 Sn 0.0000 0.0000 0.5000
4 Br 0.0000 0.0000 0.0000
5 N 0.5000 0.5000 0.5000

=====

# 3
Here is a relaxed structure of SiSn2BrN from Alexandria via LeMat-Bulk. Energies are from GGA-PBE.

Properties
Formation energy without anion corrections   1.385 eV/atom
Volume   26.27 Å³/atom
Spin magnetization   0.000 μB/atom

abc: 5.2579 5.2579 4.7513
angles: 90.00 90.00 90.00
Fractional coordinates of all 5 atoms:
1 Si 0.0000 0.0000 0.0000
2 Sn 0.0000 0.5000 0.0000
3 Sn 0.5000 0.0000 0.0000
4 Br 0.0000 0.0000 0.5000
5 N 0.5000 0.5000 0.5000

=====

Which formula does entry 3 have?
SiSn2BrN